No. 1
PBEsol BaRuO3, optimized geometry; space-group type = R-3m, No. 166; magnetization = 0.001 μB per formula unit; formation energy from raw total energies = -9.2 eV/f.u.
1.0
2.859 1.651 7.177
-2.859 1.651 7.177
0.000 -3.301 7.177
Ba Ru O
3 3 9
Cartesian
0.000 0.000 0.000 Ba
0.000 0.000 4.707 Ba
0.000 0.000 16.825 Ba
0.000 0.000 8.242 Ru
0.000 0.000 10.766 Ru
0.000 0.000 13.290 Ru
-1.429 -0.825 7.177 O
-1.338 -0.773 12.032 O
0.000 -1.545 9.499 O
-1.338 0.773 9.499 O
-1.429 0.825 14.354 O
0.000 1.651 7.177 O
1.338 -0.773 12.032 O
0.000 1.545 12.032 O
1.338 0.773 9.499 O

No. 2
PBEsol La2Zr, optimized geometry; space-group type = P6/mmm, No. 191; ΔE_f = 186 meV/atom; magnetization = 0.000 μB per formula unit
1.0
5.532 0.000 0.000
-2.766 4.791 0.000
0.000 0.000 3.225
La Zr
2 1
Cartesian
0.000 3.194 0.000 La
2.766 1.597 0.000 La
0.000 0.000 1.613 Zr

No. 3
PBEsol InFeS3, optimized geometry; space-group type = Pm-3m, No. 221; magnetization = 4.112 μB per formula unit; formation energy from raw total energies = 4.6 eV/f.u.
1.0
4.894 0.000 0.000
0.000 4.894 0.000
0.000 0.000 4.894
In Fe S
1 1 3
Cartesian
0.000 0.000 0.000 In
2.447 2.447 2.447 Fe
0.000 0.000 2.447 S
0.000 2.447 0.000 S
2.447 0.000 0.000 S

No. 4
PBEsol Na2LaFe, optimized geometry; space-group type = Fm-3m, No. 225; ΔE_f = 868 meV/atom; magnetization = 2.136 μB per formula unit
1.0
0.000 3.693 3.693
3.693 0.000 3.693
3.693 3.693 0.000
Na La Fe
2 1 1
Cartesian
1.847 1.847 1.847 Na
5.540 5.540 5.540 Na
0.000 0.000 0.000 La
3.693 3.693 3.693 Fe

No. 5
PBEsol Eu3Sn2Pd2, optimized geometry; space-group type = Pbcm, No. 57; ΔE_f = -816 meV/atom; magnetization = 20.921 μB per formula unit
1.0
5.899 0.000 0.000
0.000 8.535 0.000
0.000 0.000 13.834
Eu Sn Pd
12 8 8
Cartesian
0.849 2.105 3.458 Eu
0.849 2.163 10.375 Eu
2.064 5.171 1.350 Eu
2.064 5.171 5.567 Eu
2.064 7.632 8.266 Eu
2.064 7.632 12.484 Eu
3.835 0.903 1.350 Eu
3.835 0.903 5.567 Eu
3.835 3.364 8.266 Eu
3.835 3.364 12.484 Eu
5.051 6.372 3.458 Eu
5.051 6.430 10.375 Eu
0.946 2.134 0.000 Sn
0.946 2.134 6.917 Sn
2.099 5.142 10.375 Sn
2.099 7.661 3.458 Sn
3.800 0.874 10.375 Sn
3.800 3.394 3.458 Sn
4.954 6.401 0.000 Sn
4.954 6.401 6.917 Sn
0.695 4.584 8.157 Pd
0.695 4.584 12.593 Pd
0.695 8.218 1.241 Pd
0.695 8.218 5.676 Pd
5.205 0.317 8.157 Pd
5.205 0.317 12.593 Pd
5.205 3.951 1.241 Pd
5.205 3.951 5.676 Pd

No. 6
PBEsol K2SrCa, optimized geometry; space-group type = Pmmm, No. 47; ΔE_f = 175 meV/atom; magnetization = 0.000 μB per formula unit
1.0
4.051 0.000 0.000
0.000 6.719 0.000
0.000 0.000 8.095
K Sr Ca
2 1 1
Cartesian
0.000 0.000 1.971 K
0.000 0.000 6.124 K
2.026 3.360 4.048 Sr
2.026 3.360 0.000 Ca

No. 7
PBEsol BeAuCl2, optimized geometry; space-group type = P2/m, No. 10; magnetization = 0.000 μB per formula unit; formation energy from raw total energies = -1.4 eV/f.u.
1.0
3.139 0.000 0.000
0.000 2.903 0.000
-1.181 0.000 9.225
Be Au Cl
1 1 2
Cartesian
0.000 0.000 0.000 Be
0.979 0.000 4.612 Au
-0.634 1.452 7.860 Cl
2.592 1.452 1.365 Cl

No. 8
PBEsol Tm3Co4Ge13, optimized geometry; space-group type = Pm-3n, No. 223; ΔE_f = -486 meV/atom; magnetization = 0.000 μB per formula unit
1.0
8.614 0.000 0.000
0.000 8.614 0.000
0.000 0.000 8.614
Tm Co Ge
6 8 26
Cartesian
0.000 2.153 4.307 Tm
0.000 6.460 4.307 Tm
2.153 4.307 0.000 Tm
4.307 0.000 2.153 Tm
4.307 0.000 6.460 Tm
6.460 4.307 0.000 Tm
2.153 2.153 2.153 Co
2.153 2.153 6.460 Co
2.153 6.460 2.153 Co
2.153 6.460 6.460 Co
6.460 2.153 2.153 Co
6.460 2.153 6.460 Co
6.460 6.460 2.153 Co
6.460 6.460 6.460 Co
0.000 0.000 0.000 Ge
0.000 2.623 1.318 Ge
0.000 2.623 7.295 Ge
0.000 5.991 1.318 Ge
0.000 5.991 7.295 Ge
1.318 0.000 2.623 Ge
1.318 0.000 5.991 Ge
1.684 4.307 2.988 Ge
1.684 4.307 5.625 Ge
2.623 1.318 0.000 Ge
2.623 7.295 0.000 Ge
2.988 1.684 4.307 Ge
2.988 6.930 4.307 Ge
4.307 2.988 1.684 Ge
4.307 2.988 6.930 Ge
4.307 4.307 4.307 Ge
4.307 5.625 1.684 Ge
4.307 5.625 6.930 Ge
5.625 1.684 4.307 Ge
5.625 6.930 4.307 Ge
5.991 1.318 0.000 Ge
5.991 7.295 0.000 Ge
6.930 4.307 2.988 Ge
6.930 4.307 5.625 Ge
7.295 0.000 2.623 Ge
7.295 0.000 5.991 Ge

No. 9
PBEsol RbAgHg3, optimized geometry; space-group type = Pm-3m, No. 221; ΔE_f = 672 meV/atom; magnetization = 0.000 μB per formula unit
1.0
6.328 0.000 0.000
0.000 6.328 0.000
0.000 0.000 6.328
Rb Ag Hg
1 1 3
Cartesian
0.000 0.000 0.000 Rb
3.164 3.164 3.164 Ag
0.000 0.000 3.164 Hg
0.000 3.164 0.000 Hg
3.164 0.000 0.000 Hg

No. 10
PBEsol EuAgAu2, optimized geometry; space-group type = Fm-3m, No. 225; ΔE_f = -446 meV/atom; magnetization = 6.817 μB per formula unit
1.0
0.000 3.453 3.453
3.453 0.000 3.453
3.453 3.453 0.000
Eu Ag Au
1 1 2
Cartesian
0.000 0.000 0.000 Eu
3.453 3.453 3.453 Ag
1.727 1.727 1.727 Au
5.180 5.180 5.180 Au

No. 11
PBEsol CsYSb2Te, optimized geometry; space-group type = P4/mmm, No. 123; magnetization = 0.000 μB per formula unit; formation energy from raw total energies = 5.1 eV/f.u.
1.0
5.842 0.000 0.000
0.000 5.842 0.000
0.000 0.000 5.856
Cs Y Sb Te
1 1 2 1
Cartesian
0.000 0.000 0.000 Cs
2.921 2.921 2.928 Y
0.000 2.921 0.000 Sb
2.921 0.000 0.000 Sb
0.000 0.000 2.928 Te

No. 12
PBEsol TcNi2P, optimized geometry; space-group type = Cm, No. 8; ΔE_f = -145 meV/atom; magnetization = 0.000 μB per formula unit
1.0
3.942 -1.304 0.000
3.942 1.304 0.000
-0.914 0.000 4.456
Tc Ni P
1 2 1
Cartesian
0.000 0.000 0.000 Tc
1.251 0.000 3.168 Ni
3.385 0.000 2.184 Ni
5.662 0.000 1.247 P